Compound: NbGeO3
Source: OQMD via LeMat-Bulk
Functional: PBE-GGA
Structure: optimized geometry

Output
M_tot (μB per atom): 0.20
Crystal system: orthorhombic
Uncorrected energy (eV/atom): -7.6271

a = 5.812 Å, b = 7.795 Å, c = 5.310 Å
α = 90.00°, β = 90.00°, γ = 90.00°
Space group Pnma (No. 62)
One atom of each set of equivalent atoms:
Nb 0.000 0.000 0.000 (multiplicity 4)
Ge 0.024 0.250 0.482 (multiplicity 4)
O 0.027 0.750 0.135 (multiplicity 4)
O 0.191 0.551 0.674 (multiplicity 8)



Compound: TbTlCdS3
Source: OQMD via LeMat-Bulk
Functional: PBE-GGA
Structure: optimized geometry

Output
M_tot (μB per atom): 0.00
Crystal system: orthorhombic
ΔE to the lowest computed polymorph (meV per atom): 18

a = 12.055 Å, b = 4.121 Å, c = 12.277 Å
α = 90.00°, β = 90.00°, γ = 90.00°
Space group Pnma (No. 62)
One atom of each set of equivalent atoms:
Tb 0.033 0.250 0.160 (multiplicity 4)
Tl 0.146 0.250 0.516 (multiplicity 4)
Cd 0.249 0.750 0.303 (multiplicity 4)
S 0.037 0.750 0.316 (multiplicity 4)
S 0.092 0.250 0.936 (multiplicity 4)
S 0.240 0.750 0.676 (multiplicity 4)



Compound: ErPPbO
Source: OQMD via LeMat-Bulk
Functional: PBE-GGA
Structure: optimized geometry

Output
M_tot (μB per atom): 0.00
Crystal system: orthorhombic
ΔE to the lowest computed polymorph (meV per atom): 0

a = 3.927 Å, b = 8.501 Å, c = 5.781 Å
α = 90.00°, β = 90.00°, γ = 90.00°
Space group Pmc2_1 (No. 26)
One atom of each set of equivalent atoms:
Er 0.000 0.160 0.000 (multiplicity 2)
P 0.000 0.161 0.490 (multiplicity 2)
Pb 0.500 0.365 0.581 (multiplicity 2)
O 0.500 0.258 0.966 (multiplicity 2)



Compound: RbZrAgTeSe2
Source: OQMD via LeMat-Bulk
Functional: PBE-GGA
Structure: optimized geometry

Output
M_tot (μB per atom): 0.00
Crystal system: monoclinic
ΔE to the lowest computed polymorph (meV per atom): 0

a = 8.813 Å, b = 4.062 Å, c = 10.487 Å
α = 90.00°, β = 111.72°, γ = 90.00°
Space group P2_1/m (No. 11)
One atom of each set of equivalent atoms:
Rb 0.235 0.250 0.251 (multiplicity 2)
Zr 0.314 0.750 0.845 (multiplicity 2)
Ag 0.075 0.250 0.605 (multiplicity 2)
Te 0.275 0.750 0.560 (multiplicity 2)
Se 0.116 0.250 0.868 (multiplicity 2)
Se 0.461 0.750 0.127 (multiplicity 2)



Compound: RbSiAu
Source: OQMD via LeMat-Bulk
Functional: PBE-GGA
Structure: optimized geometry

Output
Crystal system: orthorhombic
ΔE to the lowest computed polymorph (meV per atom): 0

a = 4.653 Å, b = 8.306 Å, c = 10.233 Å
α = 90.00°, β = 90.00°, γ = 90.00°
Space group Imm2 (No. 44)
One atom of each set of equivalent atoms:
Rb 0.000 0.000 0.000 (multiplicity 2)
Rb 0.000 0.500 0.117 (multiplicity 2)
Si 0.000 0.362 0.785 (multiplicity 4)
Au 0.000 0.190 0.338 (multiplicity 4)



Compound: HfTlFeAu
Source: OQMD via LeMat-Bulk
Functional: PBE-GGA
Structure: optimized geometry

Output
M_tot (μB per atom): 0.61
Crystal system: cubic
ΔE to the lowest computed polymorph (meV per atom): 55

a = 6.607 Å, b = 6.607 Å, c = 6.607 Å
α = 90.00°, β = 90.00°, γ = 90.00°
Space group F-43m (No. 216)
One atom of each set of equivalent atoms:
Hf 0.000 0.000 0.000 (multiplicity 4)
Tl 0.250 0.250 0.250 (multiplicity 4)
Fe 0.000 0.000 0.500 (multiplicity 4)
Au 0.250 0.250 0.750 (multiplicity 4)



Compound: SrZrNO
Source: OQMD via LeMat-Bulk
Functional: PBE-GGA
Structure: optimized geometry

Output
M_tot (μB per atom): 0.02
Crystal system: orthorhombic
ΔE to the lowest computed polymorph (meV per atom): 147

a = 3.914 Å, b = 6.635 Å, c = 5.716 Å
α = 90.00°, β = 90.00°, γ = 90.00°
Space group Pmc2_1 (No. 26)
One atom of each set of equivalent atoms:
Sr 0.000 0.166 0.000 (multiplicity 2)
Zr 0.500 0.324 0.522 (multiplicity 2)
N 0.000 0.217 0.487 (multiplicity 2)
O 0.500 0.387 0.879 (multiplicity 2)



Compound: NaCuTePbS2
Source: OQMD via LeMat-Bulk
Functional: PBE-GGA
Structure: optimized geometry

Output
Crystal system: orthorhombic
Uncorrected energy (eV/atom): -3.6963

a = 3.824 Å, b = 14.058 Å, c = 11.633 Å
α = 90.00°, β = 90.00°, γ = 90.00°
Space group Cmcm (No. 63)
One atom of each set of equivalent atoms:
Na 0.000 0.215 0.250 (multiplicity 4)
Cu 0.000 0.459 0.750 (multiplicity 4)
Te 0.000 0.092 0.750 (multiplicity 4)
Pb 0.000 0.000 0.000 (multiplicity 4)
S 0.000 0.374 0.586 (multiplicity 8)



Compound: KZrNO
Source: OQMD via LeMat-Bulk
Functional: PBE-GGA
Structure: optimized geometry

Output
M_tot (μB per atom): 0.00
Crystal system: tetragonal
ΔE to the lowest computed polymorph (meV per atom): 928

a = 3.516 Å, b = 3.516 Å, c = 8.825 Å
α = 90.00°, β = 90.00°, γ = 90.00°
Space group P4/nmm (No. 129, origin choice 2)
One atom of each set of equivalent atoms:
K 0.250 0.750 0.000 (multiplicity 2)
Zr 0.250 0.250 0.358 (multiplicity 2)
N 0.250 0.250 0.769 (multiplicity 2)
O 0.250 0.750 0.500 (multiplicity 2)



Compound: ZrAg
Source: OQMD via LeMat-Bulk
Functional: PBE-GGA
Structure: optimized geometry

Output
M_tot (μB per atom): 0.00
Energy relative to the elements (eV/f.u.): 0.1
Crystal system: orthorhombic

a = 4.897 Å, b = 6.616 Å, c = 4.965 Å
α = 90.00°, β = 90.00°, γ = 90.00°
Space group Pmm2 (No. 25)
One atom of each set of equivalent atoms:
Zr 0.000 0.000 0.000 (multiplicity 1)
Zr 0.000 0.246 0.500 (multiplicity 2)
Zr 0.500 0.000 0.561 (multiplicity 1)
Ag 0.000 0.500 0.992 (multiplicity 1)
Ag 0.500 0.264 0.069 (multiplicity 2)
Ag 0.500 0.500 0.578 (multiplicity 1)



Compound: ReS2
Source: OQMD via LeMat-Bulk
Functional: PBE-GGA
Structure: optimized geometry

Output
M_tot (μB per atom): 0.00
Crystal system: orthorhombic
Uncorrected energy (eV/atom): -7.1780

a = 5.113 Å, b = 5.860 Å, c = 3.225 Å
α = 90.00°, β = 90.00°, γ = 90.00°
Space group Pnnm (No. 58)
One atom of each set of equivalent atoms:
Re 0.000 0.000 0.000 (multiplicity 2)
S 0.195 0.363 0.000 (multiplicity 4)



Compound: PuCoNi
Source: OQMD via LeMat-Bulk
Functional: PBE-GGA
Structure: optimized geometry

Output
M_tot (μB per atom): 0.00
Energy relative to the elements (eV/f.u.): 2.8
Crystal system: cubic
ΔE to the lowest computed polymorph (meV per atom): 234

a = 5.835 Å, b = 5.835 Å, c = 5.835 Å
α = 90.00°, β = 90.00°, γ = 90.00°
Space group F-43m (No. 216)
One atom of each set of equivalent atoms:
Pu 0.000 0.000 0.000 (multiplicity 4)
Co 0.250 0.250 0.250 (multiplicity 4)
Ni 0.250 0.250 0.750 (multiplicity 4)